## CaSi2HgPd (PBEsol)

Data for an optimized crystal structure of CaSi2HgPd.

Geometry as extended XYZ:
```
5
Lattice="-0.024 4.588 -1.554 -4.648 -0.460 -1.284 -1.543 1.680 4.983" Properties=species:S:1:pos:R:3 pbc="T T T"
Si -2.324 -0.230 -0.642
Si -0.012 2.294 -0.777
Ca -0.771 0.840 2.492
Hg 0.000 0.000 0.000
Pd -3.108 2.904 1.073
```

Summary:
E_form (uncorrected) in eV per atom: 0.8639
Calculated volume in Å³ per atom: 25.72